# Ac2HoGaPd6 (PBE-GGA, relaxed)
# formation energy from the elements: -6.37 eV/f.u.
data_Ac2HoGaPd6
_chemical_formula_sum 'Ac4 Ho2 Ga2 Pd12'
_space_group_name_H-M_alt 'C 1 2/m 1'
_space_group_IT_number 12
_cell_length_a 10.2095
_cell_length_b 5.8966
_cell_length_c 8.9832
_cell_angle_alpha 90.00
_cell_angle_beta 112.32
_cell_angle_gamma 90.00
loop_
_space_group_symop_operation_xyz
'x,y,z'
'-x,-y,-z'
'-x,y,-z'
'x,-y,z'
'x+1/2,y+1/2,z'
'-x+1/2,-y+1/2,-z'
'-x+1/2,y+1/2,-z'
'x+1/2,-y+1/2,z'
loop_
_atom_site_label
_atom_site_type_symbol
_atom_site_fract_x
_atom_site_fract_y
_atom_site_fract_z
Ac1 Ac 0.2158 0.0000 0.1463
Ho1 Ho 0.0000 0.0000 0.5000
Ga1 Ga 0.0000 0.5000 0.0000
Pd1 Pd 0.0080 0.2483 0.7737
Pd2 Pd 0.2438 0.5000 0.2254